# Pm2Mg3Ge4

A relaxed Pm2Mg3Ge4 crystal (PBE, Alexandria via LeMat-Bulk).

abc: 8.492 8.492 8.108
angles: 90.00 90.00 137.89
Atoms (fractional coordinates):
Pm: 0.113 0.887 0.913
Pm: 0.387 0.613 0.413
Pm: 0.613 0.387 0.587
Pm: 0.887 0.113 0.087
Mg: 0.000 0.000 0.500
Mg: 0.039 0.461 0.750
Mg: 0.461 0.039 0.250
Mg: 0.500 0.500 0.000
Mg: 0.539 0.961 0.750
Mg: 0.961 0.539 0.250
Ge: 0.187 0.813 0.553
Ge: 0.207 0.293 0.750
Ge: 0.293 0.207 0.250
Ge: 0.313 0.687 0.053
Ge: 0.687 0.313 0.947
Ge: 0.707 0.793 0.750
Ge: 0.793 0.707 0.250
Ge: 0.813 0.187 0.447

***

# HfNbCu

A relaxed HfNbCu crystal (PBE, Alexandria via LeMat-Bulk).

abc: 4.573 4.573 2.984
angles: 90.00 90.00 120.00
Atoms (fractional coordinates):
Hf: 0.000 0.000 0.000
Nb: 0.667 0.333 0.499
Cu: 0.333 0.667 0.502

The calculation puts the polymorph energy (0 for the lowest one) at 362 meV/atom.

***

| no. | ΔE_f (kcal/mol of atoms) | DOS(E_F) (states/eV/f.u.) |
| --- | --- | --- |
| 1 | -11.280 | 3.9 |
| 2 | 5.593 | 2.5 |